A plane-wave DFT calculation with PBE+U was carried out for LiCo3O4 after structural relaxation.

Output
V = 152.9 Å³/cell
uncorrected energy = -46.37 eV/f.u.
crystal system = orthorhombic
total magnetization = 10.0 μB/f.u.
energy above the most stable polymorph in this dataset = 0.0 meV per atom

abc: 6.0484 8.3280 3.0360
angles: 90.00 90.00 90.00
Last column: nearest neighbours and their distance in Å.
Space group Cmmm (No. 65)
Unique sites:
Li 0.0000 0.0000 0.0000 x2  6 O 2.18-2.20
Co 0.0000 0.5000 0.0000 x2  6 O 1.99-2.08
Co 0.2500 0.2500 0.5000 x4  6 O 2.08-2.14
O 0.0000 0.2616 0.0000 x4  5 Co 1.99-2.14, 1 Li 2.18
O 0.2356 0.5000 0.5000 x4  4 Co 2.08, 2 Li 2.20